Record 1
DFT (PBE-GGA) results for FeB after structural relaxation.

- size of the total moment (μB/atom) = 0.50
- final energy (eV/atom) = -7.384
- SG = Fm-3m, No. 225

POSCAR file:
```
FeB
1.0
2.493 -0.162 1.461
1.043 2.340 1.347
-0.006 0.129 2.891
B Fe
1 1
Direct
0.000 0.000 0.000
0.500 0.500 0.500
```

Record 2
DFT (PBE-GGA) results for FeB after structural relaxation.

- size of the total moment (μB/atom) = 0.68
- final energy (eV/atom) = -7.869
- SG = Cm, No. 8

POSCAR file:
```
FeB
1.0
2.889 -2.946 0.000
2.889 2.946 0.000
-1.440 0.000 3.757
Fe B
4 4
Direct
0.200 0.702 0.420
0.094 0.094 0.992
0.702 0.200 0.420
0.593 0.593 0.991
0.737 0.737 0.567
0.557 0.057 0.844
0.057 0.557 0.844
0.238 0.238 0.567
```

Record 3
DFT (PBE-GGA) results for Fe5B after structural relaxation.

- size of the total moment (μB/atom) = 1.47
- final energy (eV/atom) = -7.235
- SG = P6/mmm, No. 191

POSCAR file:
```
Fe5B
1.0
-0.534 4.092 1.579
-0.345 -3.475 2.706
4.080 0.222 0.805
Fe B
5 1
Direct
0.667 0.333 0.000
0.500 0.500 0.500
0.500 0.000 0.500
0.333 0.667 0.000
0.000 0.500 0.500
0.000 0.000 0.000
```

Record 4
DFT (PBE-GGA) results for Fe2B after structural relaxation.

- size of the total moment (μB/atom) = 1.51
- final energy (eV/atom) = -5.954
- SG = Fd-3m, No. 227

POSCAR file:
```
Fe2B
1.0
3.044 1.758 4.972
-3.044 1.758 4.972
0.000 -3.515 4.972
Fe B
4 2
Direct
0.875 0.375 0.375
0.375 0.375 0.875
0.375 0.375 0.375
0.375 0.875 0.375
0.250 0.250 0.250
0.500 0.500 0.500
```

Record 5
DFT (PBE-GGA) results for FeB after structural relaxation.

- size of the total moment (μB/atom) = 0.33
- final energy (eV/atom) = -7.835
- SG = Cmcm, No. 63

POSCAR file:
```
FeB
1.0
-3.036 2.377 0.713
1.922 -1.619 -3.010
-1.937 -2.507 0.111
Fe B
2 2
Direct
0.140 0.860 0.250
0.860 0.140 0.750
0.575 0.425 0.750
0.425 0.575 0.250
```

Record 6
DFT (PBE-GGA) results for Fe2B after structural relaxation.

- size of the total moment (μB/atom) = 1.34
- final energy (eV/atom) = -6.702
- SG = Fd-3m, No. 227

POSCAR file:
```
Fe2B
1.0
0.000 3.204 3.204
3.204 0.000 3.204
3.204 3.204 0.000
B Fe
2 4
Direct
0.000 0.000 0.000
0.250 0.250 0.250
0.625 0.625 0.625
0.125 0.625 0.625
0.625 0.625 0.125
0.625 0.125 0.625
```

Record 7
DFT (PBE-GGA) results for FeB after structural relaxation.

- size of the total moment (μB/atom) = 0.11
- final energy (eV/atom) = -7.597
- SG = Pmma, No. 51

POSCAR file:
```
FeB
1.0
3.505 0.000 0.000
0.000 2.487 0.000
0.000 0.000 3.515
B Fe
2 2
Direct
0.750 0.000 0.767
0.250 0.000 0.233
0.250 0.500 0.743
0.750 0.500 0.257
```

Record 8
DFT (PBE-GGA) results for Fe2B7 after structural relaxation.

- size of the total moment (μB/atom) = 0.07
- final energy (eV/atom) = -7.231
- SG = Pbam, No. 55

POSCAR file:
```
Fe2B7
1.0
10.616 0.000 0.000
0.000 16.891 0.000
0.000 0.000 2.875
B Fe
56 16
Direct
0.975 0.101 0.000
0.401 0.445 0.500
0.861 0.661 0.500
0.392 0.303 0.000
0.025 0.899 0.000
0.442 0.554 0.500
0.292 0.180 0.500
0.624 0.860 0.000
0.608 0.697 0.000
0.212 0.020 0.500
0.361 0.839 0.500
0.306 0.035 0.000
0.806 0.465 0.000
0.708 0.820 0.500
0.947 0.632 0.000
0.108 0.803 0.000
0.053 0.368 0.000
0.124 0.640 0.000
0.942 0.946 0.500
0.288 0.520 0.500
0.212 0.790 0.500
0.955 0.799 0.000
0.553 0.132 0.000
0.788 0.210 0.500
0.356 0.719 0.500
0.376 0.140 0.000
0.545 0.299 0.000
0.038 0.548 0.000
0.962 0.452 0.000
0.288 0.290 0.500
0.194 0.535 0.000
0.099 0.945 0.500
0.901 0.055 0.500
0.856 0.781 0.500
0.455 0.701 0.000
0.876 0.360 0.000
0.712 0.480 0.500
0.644 0.281 0.500
0.792 0.320 0.500
0.208 0.680 0.500
0.462 0.048 0.000
0.475 0.399 0.000
0.788 0.980 0.500
0.538 0.952 0.000
0.144 0.219 0.500
0.639 0.161 0.500
0.447 0.868 0.000
0.694 0.965 0.000
0.558 0.446 0.500
0.139 0.339 0.500
0.525 0.601 0.000
0.045 0.201 0.000
0.892 0.197 0.000
0.712 0.710 0.500
0.599 0.555 0.500
0.058 0.054 0.500
0.821 0.878 0.000
0.234 0.886 0.000
0.969 0.279 0.500
0.392 0.967 0.500
0.892 0.533 0.500
0.531 0.779 0.500
0.679 0.378 0.000
0.179 0.122 0.000
0.734 0.614 0.000
0.108 0.467 0.500
0.321 0.622 0.000
0.608 0.033 0.500
0.266 0.386 0.000
0.766 0.114 0.000
0.469 0.221 0.500
0.031 0.721 0.500
```

Record 9
DFT (PBE-GGA) results for FeB after structural relaxation.

- size of the total moment (μB/atom) = 0.68
- final energy (eV/atom) = -7.875
- SG = I4_1/amd, No. 141

POSCAR file:
```
FeB
1.0
-1.463 1.463 7.477
1.463 -1.463 7.477
1.463 1.463 -7.477
Fe B
4 4
Direct
0.554 0.054 0.500
0.946 0.446 0.500
0.196 0.196 0.000
0.804 0.804 0.000
0.340 0.340 0.000
0.660 0.660 0.000
0.410 0.910 0.500
0.090 0.590 0.500
```

Record 10
DFT (PBE-GGA) results for GaFe2B after structural relaxation.

- size of the total moment (μB/atom) = 0.33
- final energy (eV/atom) = -6.559
- SG = Pm-3m, No. 221

POSCAR file:
```
GaFe2B
1.0
-4.866 2.203 0.928
-1.236 -0.516 -5.254
-2.047 -4.927 0.965
Fe Ga B
8 4 4
Direct
0.226 0.226 0.226
0.226 0.774 0.226
0.774 0.226 0.774
0.226 0.226 0.774
0.774 0.226 0.226
0.226 0.774 0.774
0.774 0.774 0.774
0.774 0.774 0.226
0.500 0.500 0.500
0.500 0.500 0.000
0.000 0.500 0.500
0.500 0.000 0.500
0.500 0.000 0.000
0.000 0.000 0.000
0.000 0.500 0.000
0.000 0.000 0.500
```

Record 11
DFT (PBE-GGA) results for GaFeB after structural relaxation.

- polymorph energy (0 for the lowest one) (eV per atom) = 0.0000
- size of the total moment (μB/atom) = 0.04
- final energy (eV/atom) = -5.870
- SG = F-43m, No. 216

POSCAR file:
```
GaFeB
1.0
0.000 2.529 2.529
2.529 0.000 2.529
2.529 2.529 0.000
B Ga Fe
1 1 1
Direct
0.000 0.000 0.000
0.750 0.750 0.750
0.250 0.250 0.250
```

Record 12
DFT (PBE-GGA) results for GaFeB after structural relaxation.

- polymorph energy (0 for the lowest one) (eV per atom) = 0.4303
- size of the total moment (μB/atom) = 0.02
- final energy (eV/atom) = -5.440
- SG = F-43m, No. 216

POSCAR file:
```
GaFeB
1.0
0.000 2.610 2.610
2.610 0.000 2.610
2.610 2.610 0.000
Fe Ga B
1 1 1
Direct
0.000 0.000 0.000
0.750 0.750 0.750
0.250 0.250 0.250
```

Record 13
DFT (PBE-GGA) results for GaFe2B after structural relaxation.

- size of the total moment (μB/atom) = 0.33
- final energy (eV/atom) = -6.559
- SG = Pm-3m, No. 221

POSCAR file:
```
GaFe2B
1.0
-5.056 -0.039 -1.949
1.093 -4.542 -2.744
-1.614 -2.953 4.246
Fe Ga B
8 4 4
Direct
0.274 0.274 0.274
0.274 0.726 0.726
0.726 0.726 0.726
0.274 0.726 0.274
0.726 0.274 0.726
0.274 0.274 0.726
0.726 0.726 0.274
0.726 0.274 0.274
0.000 0.000 0.000
0.000 0.000 0.500
0.500 0.000 0.000
0.000 0.500 0.000
0.000 0.500 0.500
0.500 0.000 0.500
0.500 0.500 0.500
0.500 0.500 0.000
```

Record 14
DFT (PBE-GGA) results for Ga2FeB after structural relaxation.

- size of the total moment (μB/atom) = 0.24
- final energy (eV/atom) = -4.474
- SG = F-43m, No. 216

POSCAR file:
```
Ga2FeB
1.0
-0.414 4.032 0.546
-0.165 1.545 3.783
3.129 2.199 1.449
Ga B Fe
2 1 1
Direct
0.750 0.750 0.750
0.500 0.500 0.500
0.250 0.250 0.250
0.000 0.000 0.000
```

Record 15
DFT (PBE-GGA) results for Gd2Fe14B after structural relaxation.

- size of the total moment (μB/atom) = 1.82
- final energy (eV/atom) = -7.881
- SG = P4_2/mnm, No. 136

POSCAR file:
```
Gd2Fe14B
1.0
-1.988 7.317 -4.328
-7.280 0.830 4.747
6.019 6.430 8.106
Fe Gd B
56 8 4
Direct
0.000 0.500 0.000
0.963 0.359 0.175
0.000 0.000 0.384
0.903 0.097 0.202
0.500 0.000 0.000
0.463 0.141 0.325
0.500 0.500 0.884
0.567 0.775 0.127
0.141 0.463 0.675
0.317 0.683 0.754
0.725 0.067 0.627
0.225 0.433 0.127
0.000 0.500 0.500
0.097 0.903 0.202
0.859 0.537 0.675
0.963 0.359 0.825
0.183 0.183 0.254
0.683 0.317 0.246
0.037 0.641 0.825
0.500 0.500 0.116
0.933 0.275 0.627
0.317 0.683 0.246
0.817 0.817 0.254
0.225 0.433 0.873
0.433 0.225 0.127
0.275 0.933 0.373
0.683 0.317 0.754
0.859 0.537 0.325
0.641 0.037 0.175
0.725 0.067 0.373
0.183 0.183 0.746
0.067 0.725 0.627
0.775 0.567 0.873
0.403 0.403 0.702
0.463 0.141 0.675
0.903 0.097 0.798
0.275 0.933 0.627
0.067 0.725 0.373
0.537 0.859 0.675
0.597 0.597 0.702
0.567 0.775 0.873
0.500 0.000 0.500
0.775 0.567 0.127
0.000 0.000 0.616
0.817 0.817 0.746
0.597 0.597 0.298
0.359 0.963 0.175
0.097 0.903 0.798
0.403 0.403 0.298
0.433 0.225 0.873
0.933 0.275 0.373
0.141 0.463 0.325
0.641 0.037 0.825
0.037 0.641 0.175
0.537 0.859 0.325
0.359 0.963 0.825
0.768 0.768 0.500
0.857 0.857 0.000
0.732 0.268 0.000
0.143 0.143 0.000
0.268 0.732 0.000
0.643 0.357 0.500
0.357 0.643 0.500
0.232 0.232 0.500
0.375 0.375 0.000
0.875 0.125 0.500
0.125 0.875 0.500
0.625 0.625 0.000
```

Record 16
DFT (PBE-GGA) results for Gd2Fe14B after structural relaxation.

- size of the total moment (μB/atom) = 1.82
- final energy (eV/atom) = -7.881
- SG = P4_2/mnm, No. 136

POSCAR file:
```
Gd2Fe14B
1.0
-5.014 -6.929 -1.728
2.309 -3.571 7.619
-9.265 5.376 5.327
Fe Gd B
56 8 4
Direct
0.537 0.859 0.175
0.500 0.000 0.000
0.433 0.225 0.627
0.903 0.097 0.702
0.433 0.225 0.373
0.067 0.725 0.873
0.000 0.500 0.000
0.403 0.403 0.798
0.000 0.000 0.884
0.725 0.067 0.127
0.275 0.933 0.127
0.225 0.433 0.627
0.683 0.317 0.254
0.183 0.183 0.754
0.141 0.463 0.175
0.141 0.463 0.825
0.359 0.963 0.675
0.463 0.141 0.825
0.963 0.359 0.325
0.037 0.641 0.325
0.859 0.537 0.825
0.597 0.597 0.798
0.725 0.067 0.873
0.641 0.037 0.675
0.317 0.683 0.254
0.775 0.567 0.627
0.037 0.641 0.675
0.500 0.500 0.616
0.317 0.683 0.746
0.933 0.275 0.127
0.963 0.359 0.675
0.000 0.000 0.116
0.567 0.775 0.373
0.597 0.597 0.202
0.817 0.817 0.246
0.817 0.817 0.754
0.000 0.500 0.500
0.567 0.775 0.627
0.067 0.725 0.127
0.641 0.037 0.325
0.275 0.933 0.873
0.500 0.000 0.500
0.933 0.275 0.873
0.183 0.183 0.246
0.403 0.403 0.202
0.097 0.903 0.702
0.775 0.567 0.373
0.859 0.537 0.175
0.097 0.903 0.298
0.500 0.500 0.384
0.225 0.433 0.373
0.463 0.141 0.175
0.537 0.859 0.825
0.683 0.317 0.746
0.903 0.097 0.298
0.359 0.963 0.325
0.143 0.143 0.500
0.357 0.643 0.000
0.232 0.232 0.000
0.643 0.357 0.000
0.732 0.268 0.500
0.768 0.768 0.000
0.857 0.857 0.500
0.268 0.732 0.500
0.624 0.624 0.500
0.376 0.376 0.500
0.124 0.876 0.000
0.876 0.124 0.000
```